5
Lattice="4.766 0.000 0.000 0.000 4.766 0.000 0.000 0.000 4.766" Properties=species:S:1:pos:R:3 comment="Cu3HgW GGA-PBE relaxed" sg=Pm-3m de_polymorph_mev_per_atom=0 formation_enthalpy_0k_mev_per_atom=1518.6 pbc="T T T"
Cu 0.000 2.383 0.000
Cu 0.000 0.000 2.383
Cu 2.383 0.000 0.000
Hg 2.383 2.383 2.383
W 0.000 0.000 0.000